Record 1
Density functional theory data (PBE-GGA) for a relaxed TlGaCuS3 crystal.

Cell lengths 7.4316, 3.5623, 10.6404 Å; angles 90.00, 109.71, 90.00 degrees
Fractional coordinates of all 12 atoms:
Tl: 0.0207 0.7500 0.3078
Tl: 0.9793 0.2500 0.6922
S: 0.3013 0.2500 0.5375
S: 0.6773 0.2500 0.1238
S: 0.6987 0.7500 0.4625
S: 0.2802 0.2500 0.1878
S: 0.3227 0.7500 0.8762
S: 0.7198 0.7500 0.8122
Ga: 0.4336 0.7500 0.1100
Ga: 0.5664 0.2500 0.8900
Cu: 0.5033 0.7500 0.5973
Cu: 0.4967 0.2500 0.4027

Properties
total energy = -3.936 eV per atom

---

Record 2
Density functional theory data (PBE-GGA) for a relaxed NdHfTc4 crystal.

Cell lengths 5.2110, 5.2110, 5.1009 Å; angles 90.00, 90.00, 92.43 degrees
Fractional coordinates of all 6 atoms:
Nd: 0.0000 0.0000 0.5000
Tc: 0.8406 0.8406 0.0000
Tc: 0.3561 0.6439 0.5000
Tc: 0.1594 0.1594 0.0000
Tc: 0.6439 0.3561 0.5000
Hf: 0.5000 0.5000 0.0000

Properties
calculated formation energy = 1.60 eV per atom

---

Record 3
Density functional theory data (PBE-GGA) for a relaxed LiCu3GeS4 crystal.

Cell lengths 5.5195, 5.5195, 5.5195 Å; angles 90.00, 90.00, 90.00 degrees
Fractional coordinates of all 9 atoms:
S: 0.2596 0.7404 0.7404
S: 0.2596 0.2596 0.2596
S: 0.7404 0.2596 0.7404
S: 0.7404 0.7404 0.2596
Cu: 0.5000 0.0000 0.5000
Cu: 0.5000 0.5000 0.0000
Cu: 0.0000 0.5000 0.5000
Li: 0.0000 0.0000 0.0000
Ge: 0.5000 0.5000 0.5000

Properties
relative energy among the computed polymorphs = 81.2 meV/atom

---

Record 4
Density functional theory data (PBE-GGA) for a relaxed La2Ag2I crystal.

Cell lengths 4.6211, 4.6211, 8.2313 Å; angles 90.00, 90.00, 120.00 degrees
Fractional coordinates of all 5 atoms:
Ag: 0.3333 0.6667 0.5000
Ag: 0.0000 0.0000 0.5000
La: 0.6667 0.3333 0.7327
La: 0.6667 0.3333 0.2673
I: 0.3333 0.6667 0.0000

Properties
total energy = -3.951 eV per atom

---

Record 5
Density functional theory data (PBE-GGA) for a relaxed SnW4C3 crystal.

Cell lengths 3.1736, 3.1736, 23.6632 Å; angles 90.00, 90.00, 120.00 degrees
Fractional coordinates of all 16 atoms:
Sn: 0.3333 0.6667 0.2500
Sn: 0.6667 0.3333 0.7500
W: 0.0000 0.0000 0.6495
W: 0.6667 0.3333 0.5555
W: 0.3333 0.6667 0.4445
W: 0.0000 0.0000 0.3505
W: 0.0000 0.0000 0.1495
W: 0.0000 0.0000 0.8505
W: 0.6667 0.3333 0.9445
W: 0.3333 0.6667 0.0555
C: 0.3333 0.6667 0.6080
C: 0.6667 0.3333 0.1080
C: 0.6667 0.3333 0.3920
C: 0.0000 0.0000 0.5000
C: 0.0000 0.0000 0.0000
C: 0.3333 0.6667 0.8920

Properties
total energy = -10.148 eV per atom

---

Record 6
Density functional theory data (PBE-GGA) for a relaxed SiAsPd crystal.

Cell lengths 4.2193, 4.2193, 4.2193 Å; angles 60.00, 60.00, 60.00 degrees
Fractional coordinates of all 3 atoms:
Pd: 0.7500 0.7500 0.7500
As: 0.2500 0.2500 0.2500
Si: 0.0000 0.0000 0.0000

Properties
relative energy among the computed polymorphs = 106.6 meV/atom

---

Record 7
Density functional theory data (PBE-GGA) for a relaxed GdMgAuSe2S crystal.

Cell lengths 6.8356, 6.8356, 10.5499 Å; angles 90.00, 90.00, 147.03 degrees
Fractional coordinates of all 12 atoms:
Au: 0.4810 0.5190 0.7500
Au: 0.5190 0.4810 0.2500
Se: 0.6548 0.3452 0.4288
Se: 0.3452 0.6548 0.5712
Se: 0.3452 0.6548 0.9288
Se: 0.6548 0.3452 0.0712
Gd: 0.0000 0.0000 0.5000
Gd: 0.0000 0.0000 0.0000
S: 0.1119 0.8881 0.7500
S: 0.8881 0.1119 0.2500
Mg: 0.7556 0.2444 0.7500
Mg: 0.2444 0.7556 0.2500

Properties
total energy = -4.486 eV per atom

---

Record 8
Density functional theory data (PBE-GGA) for a relaxed SbW3N2 crystal.

Cell lengths 3.3133, 3.3133, 17.0185 Å; angles 90.00, 90.00, 120.00 degrees
Fractional coordinates of all 12 atoms:
W: 0.0000 0.0000 0.0000
W: 0.0000 0.0000 0.5000
W: 0.3333 0.6667 0.8776
W: 0.6667 0.3333 0.3776
W: 0.3333 0.6667 0.6224
W: 0.6667 0.3333 0.1224
N: 0.3333 0.6667 0.0660
N: 0.6667 0.3333 0.9340
N: 0.3333 0.6667 0.4340
N: 0.6667 0.3333 0.5660
Sb: 0.0000 0.0000 0.2500
Sb: 0.0000 0.0000 0.7500

Properties
total energy = -9.501 eV per atom

---

Record 9
Density functional theory data (PBE-GGA) for a relaxed Tb4PO3 crystal.

Cell lengths 6.1766, 6.1766, 6.1766 Å; angles 131.01, 131.01, 71.80 degrees
Fractional coordinates of all 8 atoms:
Tb: 0.0000 0.5000 0.5000
Tb: 0.7378 0.7378 0.0000
Tb: 0.2622 0.2622 0.0000
Tb: 0.5000 0.0000 0.5000
O: 0.2500 0.7500 0.5000
O: 0.5000 0.5000 0.0000
O: 0.7500 0.2500 0.5000
P: 0.0000 0.0000 0.0000

Properties
total energy = -7.224 eV per atom

---

Record 10
Density functional theory data (PBE-GGA) for a relaxed LuNb2Tl crystal.

Cell lengths 4.9116, 4.9116, 4.9116 Å; angles 60.00, 60.00, 60.00 degrees
Fractional coordinates of all 4 atoms:
Tl: 0.5000 0.5000 0.5000
Nb: 0.0000 0.0000 0.0000
Nb: 0.7500 0.7500 0.7500
Lu: 0.2500 0.2500 0.2500

Properties
total energy = -6.544 eV per atom

---

Record 11
Density functional theory data (PBE-GGA) for a relaxed ZrSnB4 crystal.

Cell lengths 3.1693, 3.1693, 7.9030 Å; angles 90.00, 90.00, 120.00 degrees
Fractional coordinates of all 6 atoms:
B: 0.6667 0.3333 0.7786
B: 0.3333 0.6667 0.7786
B: 0.3333 0.6667 0.2214
B: 0.6667 0.3333 0.2214
Zr: 0.0000 0.0000 0.0000
Sn: 0.0000 0.0000 0.5000

Properties
relative energy among the computed polymorphs = 0.0 meV/atom

---

Record 12
Density functional theory data (PBE-GGA) for a relaxed CdSb2Se3Br2 crystal.

Cell lengths 4.0886, 10.9246, 11.9242 Å; angles 109.92, 99.87, 100.79 degrees
Fractional coordinates of all 16 atoms:
Se: 0.6788 0.1414 0.2163
Se: 0.0756 0.1770 0.9742
Se: 0.9244 0.8230 0.0258
Se: 0.3212 0.8586 0.7837
Se: 0.1824 0.5035 0.8613
Se: 0.8176 0.4965 0.1387
Sb: 0.6156 0.3209 0.9103
Sb: 0.7359 0.6882 0.7836
Sb: 0.2641 0.3118 0.2164
Sb: 0.3844 0.6791 0.0897
Cd: 0.8022 0.1520 0.4524
Cd: 0.1978 0.8480 0.5476
Br: 0.4400 0.3376 0.5424
Br: 0.1401 0.9286 0.3516
Br: 0.8599 0.0714 0.6484
Br: 0.5600 0.6624 0.4576

Properties
total energy = -3.357 eV per atom

---

Record 13
Density functional theory data (PBE-GGA) for a relaxed PuBeOs crystal.

Cell lengths 4.3145, 4.3145, 4.3145 Å; angles 60.00, 60.00, 60.00 degrees
Fractional coordinates of all 3 atoms:
Os: 0.0000 0.0000 0.0000
Be: 0.5000 0.5000 0.5000
Pu: 0.2500 0.2500 0.2500

Properties
relative energy among the computed polymorphs = 772.3 meV/atom

---

Record 14
Density functional theory data (PBE-GGA) for a relaxed Si2IrPd crystal.

Cell lengths 4.3615, 4.3615, 4.3615 Å; angles 60.00, 60.00, 60.00 degrees
Fractional coordinates of all 4 atoms:
Si: 0.0000 0.0000 0.0000
Si: 0.7500 0.7500 0.7500
Ir: 0.2500 0.2500 0.2500
Pd: 0.5000 0.5000 0.5000

Properties
relative energy among the computed polymorphs = 748.7 meV/atom

---

Record 15
Density functional theory data (PBE-GGA) for a relaxed AsPdAuO crystal.

Cell lengths 4.3418, 4.3418, 7.3542 Å; angles 90.00, 90.00, 90.00 degrees
Fractional coordinates of all 8 atoms:
Au: 0.5000 0.5000 0.5000
Au: 0.0000 0.0000 0.5000
Pd: 0.5000 0.0000 0.0273
Pd: 0.0000 0.5000 0.9727
O: 0.5000 0.5000 0.0000
O: 0.0000 0.0000 0.0000
As: 0.0000 0.5000 0.3037
As: 0.5000 0.0000 0.6963

Properties
relative energy among the computed polymorphs = 142.7 meV/atom

---

Record 16
Density functional theory data (PBE-GGA) for a relaxed Ta2BeCd crystal.

Cell lengths 4.5945, 4.5945, 4.5945 Å; angles 60.00, 60.00, 60.00 degrees
Fractional coordinates of all 4 atoms:
Be: 0.5000 0.5000 0.5000
Ta: 0.7500 0.7500 0.7500
Ta: 0.0000 0.0000 0.0000
Cd: 0.2500 0.2500 0.2500

Properties
total energy = -6.406 eV per atom

---

Record 17
Density functional theory data (PBE-GGA) for a relaxed Nd2Zn2SbAsO2 crystal.

Cell lengths 4.1140, 4.1140, 9.3226 Å; angles 90.00, 90.00, 90.00 degrees
Fractional coordinates of all 8 atoms:
O: 0.0000 0.5000 0.9924
O: 0.5000 0.0000 0.9924
Zn: 0.5000 0.0000 0.5135
Zn: 0.0000 0.5000 0.5135
Nd: 0.0000 0.0000 0.8677
Nd: 0.5000 0.5000 0.1154
As: 0.5000 0.5000 0.6825
Sb: 0.0000 0.0000 0.3227

Properties
total energy = -5.561 eV per atom

---

Record 18
Density functional theory data (PBE-GGA) for a relaxed CuF2 crystal.

Cell lengths 4.4943, 4.4943, 5.9160 Å; angles 109.13, 109.13, 38.17 degrees
Fractional coordinates of all 6 atoms:
Cu: 0.0000 0.0000 0.5000
Cu: 0.0000 0.0000 0.0000
F: 0.8649 0.8403 0.1766
F: 0.1597 0.1351 0.3234
F: 0.8403 0.8649 0.6766
F: 0.1351 0.1597 0.8234

Properties
total energy = -3.735 eV per atom

---

Record 19
Density functional theory data (PBE-GGA) for a relaxed SmTmCu2Ge2 crystal.

Cell lengths 4.2536, 4.2536, 7.3889 Å; angles 90.00, 90.00, 120.00 degrees
Fractional coordinates of all 6 atoms:
Cu: 0.3333 0.6667 0.9627
Cu: 0.6667 0.3333 0.4926
Ge: 0.3333 0.6667 0.5250
Ge: 0.6667 0.3333 0.0051
Tm: 0.0000 0.0000 0.7476
Sm: 0.0000 0.0000 0.2460

Properties
total energy = -4.990 eV per atom

---

Record 20
Density functional theory data (PBE-GGA) for a relaxed YScInCo crystal.

Cell lengths 4.7781, 4.7781, 4.7781 Å; angles 60.00, 60.00, 60.00 degrees
Fractional coordinates of all 4 atoms:
Co: 0.7500 0.7500 0.7500
Sc: 0.2500 0.2500 0.2500
Y: 0.5000 0.5000 0.5000
In: 0.0000 0.0000 0.0000

Properties
relative energy among the computed polymorphs = 0.0 meV/atom

---

Calculated volume values (in Å³/atom) by entry order: 22.10; 23.06; 18.68; 30.45; 12.90; 17.70; 22.35; 13.48; 16.41; 20.95; 11.46; 29.73; 18.93; 14.67; 17.33; 17.15; 19.72; 11.54; 19.30; 19.28.